Density functional theory data (PBE) for crystalline AgTeI at its relaxed geometry.

Geometry as POSCAR:
```
AgTeI
1.0
-2.841 -1.692 -7.808
-0.659 -4.084 1.125
-7.993 4.030 9.949
I Te Ag
4 4 4
Direct
0.184 0.000 0.911
0.816 0.000 0.089
0.184 0.500 0.411
0.816 0.500 0.589
0.412 0.500 0.162
0.588 0.000 0.338
0.588 0.500 0.838
0.412 0.000 0.662
0.922 0.000 0.355
0.078 0.000 0.645
0.078 0.500 0.145
0.922 0.500 0.855
```

## Properties
* formation energy without anion corrections: -0.14 eV/atom
* SG: C2/m